[1]
DFT (GGA-PBE) results for crystalline DyZn4Co at its relaxed geometry.

Results
Energy of formation in eV/atom: -0.2323
M_tot in Bohr magnetons per cell: 0.0
Calculated total energy in eV/f.u.: -18.198
Energy above the most stable polymorph in this dataset in eV/atom: 0.000
Space-group type: No. 51

a b c (Å): 7.5239 3.9485 6.7094
angles (deg): 90.00 90.00 90.00
Closest atoms and distances in Å follow each position.
Sites, in units of the cell vectors:
Dy1 0.2500 0.0000 0.1067  1 Co 2.63
Dy2 0.7500 0.0000 0.8933  1 Co 2.63
Zn1 0.0000 0.0000 0.5000  2 Co 2.37
Zn2 0.0598 0.5000 0.8059  2 Co 2.51, 2 Zn 2.74-2.76
Zn3 0.2500 0.5000 0.4584  2 Co 2.62, 8 Zn 2.74-2.93
Zn4 0.4402 0.5000 0.8059  2 Co 2.51, 2 Zn 2.74-2.76
Zn5 0.5000 0.0000 0.5000  2 Co 2.37
Zn6 0.5598 0.5000 0.1941  2 Co 2.51, 2 Zn 2.74-2.76
Zn7 0.7500 0.5000 0.5416  2 Co 2.62, 8 Zn 2.74-2.93
Zn8 0.9402 0.5000 0.1941  2 Co 2.51, 2 Zn 2.74-2.76
Co1 0.2500 0.0000 0.7144  8 Zn 2.37-2.62, 1 Dy 2.63
Co2 0.7500 0.0000 0.2856  8 Zn 2.37-2.62, 1 Dy 2.63

=====

[2]
DFT (GGA-PBE) results for crystalline BaLi2AgF8 at its relaxed geometry.

Results
ΔE_f (raw) in eV per atom: -2.283
M_tot in Bohr magnetons per cell: 1.0
Calculated total energy in eV/f.u.: -50.968
Space-group type: No. 2

a b c (Å): 4.5953 5.5689 7.6872
angles (deg): 110.59 96.44 93.07
Closest atoms and distances in Å follow each position.
Sites, in units of the cell vectors:
Ba1 0.0000 0.0000 0.0000  8 F 2.72-2.76
Li1 0.4923 0.4294 0.8138  4 F 1.87-1.94
Li2 0.5077 0.5706 0.1862  4 F 1.87-1.94
Ag1 0.0000 0.5000 0.5000  6 F 1.96-2.19
F1 0.1083 0.5119 0.2333  1 Li 1.94
F2 0.2048 0.8373 0.6614  1 Ag 1.97
F3 0.3317 0.3175 0.5529  1 Li 1.92, 1 Ag 1.96
F4 0.4875 0.7498 0.0208  2 Li 1.87-1.93
F5 0.5125 0.2502 0.9792  2 Li 1.87-1.93
F6 0.6683 0.6825 0.4471  1 Li 1.92, 1 Ag 1.96
F7 0.7952 0.1627 0.3386  1 Ag 1.97
F8 0.8917 0.4881 0.7667  1 Li 1.94

=====

[3]
DFT (GGA-PBE) results for crystalline YCoOs4 at its relaxed geometry.

Results
Energy of formation in eV/atom: 0.3274
M_tot in Bohr magnetons per cell: 2.9
Calculated total energy in eV/f.u.: -56.525
Space-group type: No. 216

a b c (Å): 5.2259 5.2259 5.2259
angles (deg): 60.00 60.00 60.00
Closest atoms and distances in Å follow each position.
Sites, in units of the cell vectors:
Y1 0.0000 0.0000 0.0000  12 Os 3.07, 4 Co 3.20
Co1 0.7500 0.7500 0.7500  12 Os 3.06, 4 Y 3.20
Os1 0.3756 0.3756 0.3756  6 Os 2.60-2.63
Os2 0.3756 0.3756 0.8732  6 Os 2.60-2.63
Os3 0.3756 0.8732 0.3756  6 Os 2.60-2.63
Os4 0.8732 0.3756 0.3756  6 Os 2.60-2.63

=====

[4]
DFT (GGA-PBE) results for crystalline CeTcH5 at its relaxed geometry.

Results
M_tot in Bohr magnetons per cell: 0.0
Calculated total energy in eV/f.u.: -34.963
Space-group type: No. 71

a b c (Å): 4.5414 4.5414 4.5414
angles (deg): 131.59 114.36 85.63
Closest atoms and distances in Å follow each position.
Sites, in units of the cell vectors:
Ce1 0.0000 0.0000 0.0000  14 H 2.45-2.57
Tc1 0.5000 0.5000 0.0000  6 H 1.75-1.86
H1 0.0580 0.3296 0.7284  1 Tc 1.75
H2 0.3988 0.6704 0.7284  1 Tc 1.75
H3 0.5000 0.0000 0.5000  2 Tc 1.86
H4 0.6012 0.3296 0.2716  1 Tc 1.75
H5 0.9420 0.6704 0.2716  1 Tc 1.75

=====

[5]
DFT (GGA-PBE) results for crystalline Hf2ZrAg at its relaxed geometry.

Results
Energy of formation in eV/atom: 0.0749
M_tot in Bohr magnetons per cell: 0.0
Calculated total energy in eV/f.u.: -31.007
Energy above the most stable polymorph in this dataset in eV/atom: 0.112
Space-group type: No. 160

a b c (Å): 10.0993 10.0993 10.0993
angles (deg): 18.07 18.07 18.07
Closest atoms and distances in Å follow each position.
Sites, in units of the cell vectors:
Hf1 0.0000 0.0000 0.0000  3 Ag 3.05, 3 Zr 3.13, 6 Hf 3.17
Hf2 0.1704 0.1704 0.1704  3 Ag 3.03, 3 Zr 3.13, 6 Hf 3.17
Zr1 0.7520 0.7520 0.7520  6 Hf 3.13, 6 Zr 3.17
Ag1 0.5849 0.5849 0.5849  6 Hf 3.03-3.05, 6 Ag 3.17

=====

[6]
DFT (GGA-PBE) results for crystalline Nd12TmIn6 at its relaxed geometry.

Results
Energy of formation in eV/atom: -0.2391
M_tot in Bohr magnetons per cell: 0.0
Calculated total energy in eV/f.u.: -82.659
Space-group type: No. 148

a b c (Å): 8.3777 8.3777 8.3777
angles (deg): 89.05 89.05 89.05
Closest atoms and distances in Å follow each position.
Sites, in units of the cell vectors:
Nd1 0.0720 0.3824 0.1241  3 Nd 3.09-3.38, 1 In 3.35, 1 Tm 3.45
Nd2 0.1241 0.0720 0.3824  3 Nd 3.09-3.38, 1 In 3.35, 1 Tm 3.45
Nd3 0.1911 0.5645 0.4737  4 In 3.35-3.48, 4 Nd 3.41-3.51
Nd4 0.3824 0.1241 0.0720  3 Nd 3.09-3.38, 1 In 3.35, 1 Tm 3.45
Nd5 0.4355 0.5263 0.8089  4 In 3.35-3.48, 4 Nd 3.41-3.51
Nd6 0.4737 0.1911 0.5645  4 In 3.35-3.48, 4 Nd 3.41-3.51
Nd7 0.5263 0.8089 0.4355  4 In 3.35-3.48, 4 Nd 3.41-3.51
Nd8 0.5645 0.4737 0.1911  4 In 3.35-3.48, 4 Nd 3.41-3.51
Nd9 0.6176 0.8759 0.9280  3 Nd 3.09-3.38, 1 In 3.35, 1 Tm 3.45
Nd10 0.8089 0.4355 0.5263  4 In 3.35-3.48, 4 Nd 3.41-3.51
Nd11 0.8759 0.9280 0.6176  3 Nd 3.09-3.38, 1 In 3.35, 1 Tm 3.45
Nd12 0.9280 0.6176 0.8759  3 Nd 3.09-3.38, 1 In 3.35, 1 Tm 3.45
Tm1 0.0000 0.0000 0.0000  6 In 3.24, 6 Nd 3.45
In1 0.1215 0.2691 0.7450  1 Tm 3.24, 7 Nd 3.35-3.50, 2 In 3.44
In2 0.2550 0.8785 0.7309  1 Tm 3.24, 7 Nd 3.35-3.50, 2 In 3.44
In3 0.2691 0.7450 0.1215  1 Tm 3.24, 7 Nd 3.35-3.50, 2 In 3.44
In4 0.7309 0.2550 0.8785  1 Tm 3.24, 7 Nd 3.35-3.50, 2 In 3.44
In5 0.7450 0.1215 0.2691  1 Tm 3.24, 7 Nd 3.35-3.50, 2 In 3.44
In6 0.8785 0.7309 0.2550  1 Tm 3.24, 7 Nd 3.35-3.50, 2 In 3.44

=====

[7]
DFT (GGA-PBE) results for crystalline Sr2UPdS5 at its relaxed geometry.

Results
ΔE_f (raw) in eV per atom: -1.466
M_tot in Bohr magnetons per cell: 1.4
Calculated total energy in eV/f.u.: -53.674
Space-group type: No. 36

a b c (Å): 8.9093 8.9093 12.4518
angles (deg): 90.00 90.00 154.24
Closest atoms and distances in Å follow each position.
Sites, in units of the cell vectors:
Sr1 0.1096 0.8904 0.5000  5 S 2.93-3.19
Sr2 0.1157 0.8843 0.1388  5 S 2.91-3.20
Sr3 0.8843 0.1157 0.6388  5 S 2.91-3.20
Sr4 0.8904 0.1096 0.0000  5 S 2.93-3.19
U1 0.2008 0.7992 0.8292  6 S 2.56-2.69
U2 0.7992 0.2008 0.3292  6 S 2.56-2.69
Pd1 0.4328 0.5672 0.2456  4 S 2.38-2.48
Pd2 0.5672 0.4328 0.7456  4 S 2.38-2.48
S1 0.0542 0.9458 0.8496  2 Pd 2.38, 1 U 2.56
S2 0.2924 0.7076 0.4744  2 U 2.69
S3 0.2968 0.7032 0.1854  1 Pd 2.48, 2 U 2.67
S4 0.3507 0.6493 0.8221  1 U 2.61
S5 0.4983 0.5017 0.5762  1 Pd 2.42
S6 0.5017 0.4983 0.0762  1 Pd 2.42
S7 0.6493 0.3507 0.3221  1 U 2.61
S8 0.7032 0.2968 0.6854  1 Pd 2.48, 2 U 2.67
S9 0.7076 0.2924 0.9744  2 U 2.69
S10 0.9458 0.0542 0.3496  2 Pd 2.38, 1 U 2.56

=====

[8]
DFT (GGA-PBE) results for crystalline LiLa2In at its relaxed geometry.

Results
Energy of formation in eV/atom: -0.1562
M_tot in Bohr magnetons per cell: 0.0
Calculated total energy in eV/f.u.: -15.132
Space-group type: No. 99

a b c (Å): 3.6979 3.6979 8.4776
angles (deg): 90.00 90.00 90.00
Closest atoms and distances in Å follow each position.
Sites, in units of the cell vectors:
Li1 0.0000 0.0000 0.0000  4 In 2.92
La1 0.0000 0.0000 0.4218  4 In 3.46, 1 Li 3.58, 8 La 3.70-3.71
La2 0.5000 0.5000 0.7327  4 Li 3.46, 1 In 3.57, 8 La 3.70-3.71
In1 0.5000 0.5000 0.1538  4 Li 2.92

=====

[9]
DFT (GGA-PBE) results for crystalline Eu4Ge2N at its relaxed geometry.

Results
ΔE_f (raw) in eV per atom: -0.647
M_tot in Bohr magnetons per cell: 0.4
Calculated total energy in eV/f.u.: -63.190
Space-group type: No. 139

a b c (Å): 8.3880 8.3880 8.3880
angles (deg): 145.74 145.74 49.23
Closest atoms and distances in Å follow each position.
Sites, in units of the cell vectors:
Eu1 0.0000 0.5000 0.5000  2 N 2.47
Eu2 0.1703 0.1703 0.0000  1 N 2.60
Eu3 0.5000 0.0000 0.5000  2 N 2.47
Eu4 0.8297 0.8297 0.0000  1 N 2.60
Ge1 0.3719 0.3719 0.0000  5 Eu 3.07-3.15
Ge2 0.6281 0.6281 0.0000  5 Eu 3.07-3.15
N1 0.0000 0.0000 0.0000  6 Eu 2.47-2.60

=====

[10]
DFT (GGA-PBE) results for crystalline Sm8YIr6 at its relaxed geometry.

Results
Energy of formation in eV/atom: -0.6672
M_tot in Bohr magnetons per cell: 0.0
Calculated total energy in eV/f.u.: -107.391
Space-group type: No. 148

a b c (Å): 7.8198 7.8198 7.8198
angles (deg): 65.22 65.22 65.22
Closest atoms and distances in Å follow each position.
Sites, in units of the cell vectors:
Sm1 0.0593 0.7192 0.3860  5 Ir 2.96-3.09
Sm2 0.1678 0.1678 0.1678  6 Ir 2.99-3.01
Sm3 0.2808 0.6140 0.9407  5 Ir 2.96-3.09
Sm4 0.3860 0.0593 0.7192  5 Ir 2.96-3.09
Sm5 0.6140 0.9407 0.2808  5 Ir 2.96-3.09
Sm6 0.7192 0.3860 0.0593  5 Ir 2.96-3.09
Sm7 0.8322 0.8322 0.8322  6 Ir 2.99-3.01
Sm8 0.9407 0.2808 0.6140  5 Ir 2.96-3.09
Y1 0.5000 0.5000 0.5000  6 Ir 2.99
Ir1 0.1104 0.4439 0.7758  7 Sm 2.96-3.09, 1 Y 2.99
Ir2 0.2242 0.8896 0.5561  7 Sm 2.96-3.09, 1 Y 2.99
Ir3 0.4439 0.7758 0.1104  7 Sm 2.96-3.09, 1 Y 2.99
Ir4 0.5561 0.2242 0.8896  7 Sm 2.96-3.09, 1 Y 2.99
Ir5 0.7758 0.1104 0.4439  7 Sm 2.96-3.09, 1 Y 2.99
Ir6 0.8896 0.5561 0.2242  7 Sm 2.96-3.09, 1 Y 2.99

=====

[11]
DFT (GGA-PBE) results for crystalline Cs5Hg2H at its relaxed geometry.

Results
M_tot in Bohr magnetons per cell: 0.0
Calculated total energy in eV/f.u.: -9.297
Space-group type: No. 63

a b c (Å): 9.2193 9.2193 18.6999
angles (deg): 90.00 90.00 142.23
Closest atoms and distances in Å follow each position.
Sites, in units of the cell vectors:
Cs1 0.1143 0.8857 0.6172  1 H 3.40, 1 Hg 3.80
Cs2 0.1143 0.8857 0.8828  1 H 3.40, 1 Hg 3.80
Cs3 0.2563 0.7437 0.2500  2 H 2.98
Cs4 0.3802 0.6198 0.6211  1 H 3.35
Cs5 0.3802 0.6198 0.8789  1 H 3.35
Cs6 0.6198 0.3802 0.1211  1 H 3.35
Cs7 0.6198 0.3802 0.3789  1 H 3.35
Cs8 0.7437 0.2563 0.7500  2 H 2.98
Cs9 0.8857 0.1143 0.1172  1 H 3.40, 1 Hg 3.80
Cs10 0.8857 0.1143 0.3828  1 H 3.40, 1 Hg 3.80
Hg1 0.2506 0.7494 0.0412  2 Hg 3.36
Hg2 0.2506 0.7494 0.4588  2 Hg 3.36
Hg3 0.7494 0.2506 0.5412  2 Hg 3.36
Hg4 0.7494 0.2506 0.9588  2 Hg 3.36
H1 0.2470 0.7530 0.7500  2 Cs 2.98
H2 0.7530 0.2470 0.2500  2 Cs 2.98